No. 1
The following is a DFT calculation (GGA-PBE) of crystalline Tm2VH at its relaxed geometry.

```
4
Lattice="1.637 0.945 8.425 -1.637 0.945 8.425 0.000 -1.890 8.425" Properties=species:S:1:pos:R:3 pbc="T T T"
Tm 0.000 0.000 2.830
Tm 0.000 0.000 22.445
V 0.000 0.000 0.000
H 0.000 0.000 12.637
```

No. 2
The following is a DFT calculation (GGA-PBE) of crystalline Tm3V5H12 at its relaxed geometry.

```
80
Lattice="-5.673 5.673 5.673 5.673 -5.673 5.673 5.673 5.673 -5.673" Properties=species:S:1:pos:R:3 pbc="T T T"
Tm 2.837 1.418 0.000
Tm 5.673 2.837 -1.418
Tm 1.418 0.000 2.837
Tm 7.091 0.000 2.837
Tm 0.000 2.837 1.418
Tm 2.837 -1.418 5.673
Tm 2.837 7.091 0.000
Tm 5.673 2.837 4.255
Tm -1.418 5.673 2.837
Tm 4.255 5.673 2.837
Tm 0.000 2.837 7.091
Tm 2.837 4.255 5.673
V 0.000 0.000 0.000
V 2.837 2.837 -2.837
V 2.837 -2.837 2.837
V 5.673 0.000 0.000
V 8.510 1.418 0.000
V 5.673 -2.837 4.255
V 4.255 5.673 -2.837
V 4.255 0.000 2.837
V 2.837 4.255 0.000
V 5.673 2.837 1.418
V -2.837 2.837 2.837
V 0.000 5.673 0.000
V 0.000 0.000 5.673
V 2.837 2.837 2.837
V 0.000 2.837 4.255
V 2.837 1.418 5.673
V 1.418 5.673 2.837
V 1.418 0.000 8.510
V 0.000 8.510 1.418
V -2.837 4.255 5.673
H 1.652 -0.241 0.688
H 6.857 3.524 -3.078
H 7.325 0.241 0.688
H 6.857 -2.149 3.078
H 5.432 -0.688 1.652
H 8.751 -1.184 2.149
H 0.688 1.652 -0.241
H 7.822 2.595 -1.184
H 3.524 3.078 -1.184
H 4.986 1.652 0.241
H -0.241 0.688 1.652
H 3.078 -1.184 3.524
H 5.432 4.986 -1.652
H 3.078 1.184 2.149
H 3.524 -3.078 6.857
H 4.986 -1.652 5.432
H 2.149 3.078 1.184
H 6.361 4.021 0.241
H 3.078 6.857 -2.149
H 5.432 0.688 4.021
H 1.652 5.432 -0.688
H 6.857 2.149 2.595
H 1.184 2.149 3.078
H 1.652 0.241 4.986
H 4.021 5.432 0.688
H 4.489 3.524 2.595
H -1.184 3.524 3.078
H 4.021 0.241 6.361
H 0.241 4.986 1.652
H 2.595 -1.184 7.822
H -0.688 1.652 5.432
H 3.524 2.595 4.489
H 0.688 7.325 0.241
H 2.149 8.751 -1.184
H 2.595 4.489 3.524
H 0.241 0.688 7.325
H 2.595 6.857 2.149
H 5.914 4.986 4.021
H 0.688 4.021 5.432
H 2.149 2.595 6.857
H -2.149 3.078 6.857
H 4.986 4.021 5.914
H -3.078 6.857 3.524
H 0.241 6.361 4.021
H -1.184 7.822 2.595
H -1.652 5.432 4.986
H -1.184 2.149 8.751
H 4.021 5.914 4.986
```

No. 3
The following is a DFT calculation (GGA-PBE) of crystalline TmVH2 at its relaxed geometry.

```
4
Lattice="1.566 0.904 5.021 -1.566 0.904 5.021 0.000 -1.808 5.021" Properties=species:S:1:pos:R:3 pbc="T T T"
Tm 0.000 0.000 0.000
V 0.000 0.000 7.531
H 0.000 0.000 3.355
H 0.000 0.000 11.708
```

No. 4
The following is a DFT calculation (GGA-PBE) of crystalline TmVH at its relaxed geometry.

```
6
Lattice="-2.278 2.278 4.035 2.278 -2.278 4.035 2.278 2.278 -4.035" Properties=species:S:1:pos:R:3 pbc="T T T"
Tm 0.000 0.000 0.000
Tm 0.000 2.278 2.018
V 2.278 0.000 2.073
V 0.000 0.000 4.091
H 2.278 0.000 0.197
H 0.000 0.000 2.214
```

No. 5
The following is a DFT calculation (GGA-PBE) of crystalline TmHW at its relaxed geometry.

```
6
Lattice="3.327 0.000 0.000 0.000 3.327 0.000 0.000 0.000 8.324" Properties=species:S:1:pos:R:3 pbc="T T T"
Tm 0.832 0.832 1.427
Tm 2.495 2.495 6.897
H 0.832 2.495 0.000
H 2.495 0.832 0.000
W 0.832 0.832 4.770
W 2.495 2.495 3.554
```

No. 6
The following is a DFT calculation (GGA-PBE) of crystalline Tm2HW at its relaxed geometry.

```
4
Lattice="1.541 0.890 8.639 -1.541 0.890 8.639 0.000 -1.779 8.639" Properties=species:S:1:pos:R:3 pbc="T T T"
Tm 0.000 0.000 2.812
Tm 0.000 0.000 23.106
H 0.000 0.000 12.959
W 0.000 0.000 0.000
```

No. 7
The following is a DFT calculation (GGA-PBE) of crystalline Y5Tm3H12 at its relaxed geometry.

```
80
Lattice="-6.491 6.491 6.491 6.491 -6.491 6.491 6.491 6.491 -6.491" Properties=species:S:1:pos:R:3 pbc="T T T"
Y 0.000 0.000 0.000
Y 3.245 3.245 -3.245
Y 3.245 -3.245 3.245
Y 6.491 0.000 0.000
Y 9.736 1.623 0.000
Y 6.491 -3.245 4.868
Y 4.868 6.491 -3.245
Y 4.868 0.000 3.245
Y 3.245 4.868 0.000
Y 6.491 3.245 1.623
Y -3.245 3.245 3.245
Y 0.000 6.491 0.000
Y 0.000 0.000 6.491
Y 3.245 3.245 3.245
Y 0.000 3.245 4.868
Y 3.245 1.623 6.491
Y 1.623 6.491 3.245
Y 1.623 0.000 9.736
Y 0.000 9.736 1.623
Y -3.245 4.868 6.491
Tm 3.245 1.623 0.000
Tm 6.491 3.245 -1.623
Tm 1.623 0.000 3.245
Tm 8.113 0.000 3.245
Tm 0.000 3.245 1.623
Tm 3.245 -1.623 6.491
Tm 3.245 8.113 0.000
Tm 6.491 3.245 4.868
Tm -1.623 6.491 3.245
Tm 4.868 6.491 3.245
Tm 0.000 3.245 8.113
Tm 3.245 4.868 6.491
H 2.040 0.003 0.868
H 7.696 4.113 -3.242
H 8.531 -0.003 0.868
H 7.696 -2.378 3.242
H 6.494 -0.868 2.040
H 9.732 -1.205 2.378
H 0.868 2.040 0.003
H 4.113 3.242 -1.205
H 5.623 2.040 -0.003
H 8.868 3.249 -1.205
H 0.003 0.868 2.040
H 3.242 -1.205 4.113
H 6.494 5.623 -2.040
H 3.242 1.205 2.378
H 2.378 3.242 1.205
H 7.358 4.450 -0.003
H 4.113 -3.242 7.696
H 5.623 -2.040 6.494
H 3.242 7.696 -2.378
H 6.494 0.868 4.450
H 2.040 6.494 -0.868
H 1.205 2.378 3.242
H 2.040 -0.003 5.623
H 7.696 2.378 3.249
H -1.205 4.113 3.242
H 4.450 6.494 0.868
H 5.286 4.113 3.249
H 4.450 -0.003 7.358
H -0.003 5.623 2.040
H 3.249 -1.205 8.868
H 0.868 8.531 -0.003
H 2.378 9.732 -1.205
H -0.868 2.040 6.494
H 4.113 3.249 5.286
H 3.249 5.286 4.113
H -0.003 0.868 8.531
H 3.249 7.696 2.378
H 6.487 5.623 4.450
H -2.378 3.242 7.696
H 0.868 4.450 6.494
H 2.378 3.249 7.696
H 5.623 4.450 6.487
H -3.242 7.696 4.113
H -0.003 7.358 4.450
H -1.205 8.868 3.249
H -2.040 6.494 5.623
H -1.205 2.378 9.732
H 4.450 6.487 5.623
```

No. 8
The following is a DFT calculation (GGA-PBE) of crystalline YTmH4 at its relaxed geometry.

```
12
Lattice="-2.557 2.557 5.162 2.557 -2.557 5.162 2.557 2.557 -5.162" Properties=species:S:1:pos:R:3 pbc="T T T"
Y 2.557 1.279 1.291
Y 0.000 1.279 3.872
Tm 2.557 -1.279 3.872
Tm 0.000 3.836 1.291
H 1.247 0.000 0.000
H 3.867 0.000 0.000
H 1.279 2.526 -2.581
H 1.279 -0.031 2.581
H 1.247 2.557 0.000
H 1.310 0.000 5.162
H -1.279 2.589 2.581
H 1.279 2.589 2.581
```

Calculated uncorrected energy, -4.93; -5.22; -5.12; -5.49; -7.10; -5.77; -4.78; -4.77 eV/atom (same order as the records).